Record 1
Here is an optimized crystal structure of NpCdGa2 from Alexandria via LeMat-Bulk. Energies are from PBE.

Calculated values
Total moment ... 4.6 Bohr magnetons per cell
SG ... No. 123
Electronic total energy ... -4.914 eV/atom

Lattice parameters (Å, degrees): 3.168 3.168 8.305 90.00 90.00 90.00
Positions (direct):
Cd 0.500 0.500 0.500
Ga 0.000 0.000 0.744
Ga 0.000 0.000 0.256
Np 0.500 0.500 0.000

Record 2
Here is an optimized crystal structure of CrRe3Pt from Alexandria via LeMat-Bulk. Energies are from PBE.

Calculated values
Total moment ... 0.0 Bohr magnetons per cell
SG ... No. 221
Electronic total energy ... -9.103 eV/atom

Lattice parameters (Å, degrees): 4.401 4.401 4.401 90.00 90.00 90.00
Positions (direct):
Re 0.500 0.000 0.000
Re 0.000 0.000 0.500
Re 0.000 0.500 0.000
Pt 0.500 0.500 0.500
Cr 0.000 0.000 0.000

Record 3
Here is an optimized crystal structure of Sr2Mg12Cd3In from Alexandria via LeMat-Bulk. Energies are from PBE.

Calculated values
Total moment ... 0.0 Bohr magnetons per cell
SG ... No. 166
Electronic total energy ... -1.472 eV/atom

Lattice parameters (Å, degrees): 11.646 11.646 11.646 37.14 37.14 37.14
Positions (direct):
Mg 0.381 0.911 0.911
Mg 0.089 0.619 0.089
Mg 0.911 0.381 0.911
Mg 0.089 0.089 0.619
Mg 0.619 0.089 0.089
Mg 0.191 0.586 0.586
Mg 0.414 0.809 0.414
Mg 0.414 0.414 0.809
Mg 0.911 0.911 0.381
Mg 0.586 0.191 0.586
Mg 0.586 0.586 0.191
Mg 0.809 0.414 0.414
In 0.000 0.000 0.000
Sr 0.356 0.356 0.356
Sr 0.644 0.644 0.644
Cd 0.500 0.000 0.000
Cd 0.000 0.500 0.000
Cd 0.000 0.000 0.500

Record 4
Here is an optimized crystal structure of Eu2ZnAu from Alexandria via LeMat-Bulk. Energies are from PBE.

Calculated values
Total moment ... 14.4 Bohr magnetons per cell
SG ... No. 123
Electronic total energy ... -6.797 eV/atom

Lattice parameters (Å, degrees): 3.759 3.759 7.482 90.00 90.00 90.00
Positions (direct):
Eu 0.000 0.000 0.254
Eu 0.000 0.000 0.746
Zn 0.500 0.500 0.000
Au 0.500 0.500 0.500

Record 5
Here is an optimized crystal structure of CsTlSiHg2 from Alexandria via LeMat-Bulk. Energies are from PBE.

Calculated values
ΔE_f (raw) ... 92 meV per atom
Total moment ... 0.0 Bohr magnetons per cell
SG ... No. 123
Electronic total energy ... -1.757 eV/atom

Lattice parameters (Å, degrees): 5.676 5.676 5.481 90.00 90.00 90.00
Positions (direct):
Hg 0.500 0.000 0.000
Hg 0.000 0.500 0.000
Tl 0.000 0.000 0.500
Si 0.000 0.000 0.000
Cs 0.500 0.500 0.500

Record 6
Here is an optimized crystal structure of DyThBiPb from Alexandria via LeMat-Bulk. Energies are from PBE.

Calculated values
Total moment ... 0.0 Bohr magnetons per cell
SG ... No. 160
Electronic total energy ... -5.446 eV/atom

Lattice parameters (Å, degrees): 4.556 4.556 7.778 72.97 72.97 60.00
Positions (direct):
Dy 0.946 0.946 0.161
Bi 0.197 0.197 0.409
Pb 0.692 0.692 0.925
Th 0.442 0.442 0.675

Record 7
Here is an optimized crystal structure of BeReBr from Alexandria via LeMat-Bulk. Energies are from PBE.

Calculated values
ΔE_f (raw) ... 777 meV per atom
Total moment ... 0.0 Bohr magnetons per cell
SG ... No. 156
Electronic total energy ... -5.172 eV/atom

Lattice parameters (Å, degrees): 3.020 3.020 5.726 90.00 90.00 120.00
Positions (direct):
Re 0.667 0.333 0.689
Br 0.333 0.667 0.332
Be 0.000 0.000 0.979

Record 8
Here is an optimized crystal structure of Tb4Pm3In2 from Alexandria via LeMat-Bulk. Energies are from PBE.

Calculated values
Total moment ... 0.0 Bohr magnetons per cell
SG ... No. 12
Electronic total energy ... -4.445 eV/atom

Lattice parameters (Å, degrees): 5.381 6.857 9.590 59.71 73.73 66.89
Positions (direct):
Tb 0.670 0.623 0.036
Tb 0.124 0.409 0.343
Tb 0.876 0.591 0.657
Tb 0.330 0.377 0.964
In 0.786 0.108 0.319
In 0.214 0.892 0.681
Pm 0.000 0.000 0.000
Pm 0.574 0.198 0.654
Pm 0.426 0.802 0.346

Record 9
Here is an optimized crystal structure of PaV4 from Alexandria via LeMat-Bulk. Energies are from PBE.

Calculated values
Total moment ... 2.8 Bohr magnetons per cell
SG ... No. 221
Electronic total energy ... -7.804 eV/atom

Lattice parameters (Å, degrees): 4.586 4.586 4.586 90.00 90.00 90.00
Positions (direct):
V 0.500 0.500 0.000
V 0.000 0.000 0.000
V 0.500 0.000 0.500
V 0.000 0.500 0.500
Pa 0.500 0.500 0.500

Record 10
Here is an optimized crystal structure of La4PmSi4 from Alexandria via LeMat-Bulk. Energies are from PBE.

Calculated values
ΔE_f (raw) ... -491 meV per atom
Total moment ... 0.0 Bohr magnetons per cell
SG ... No. 86
Electronic total energy ... -5.619 eV/atom

Lattice parameters (Å, degrees): 6.216 9.105 9.105 90.00 90.00 90.00
Positions (direct):
Si 0.845 0.740 0.133
Si 0.155 0.133 0.260
Si 0.345 0.633 0.760
Si 0.655 0.240 0.633
Si 0.845 0.260 0.867
Si 0.155 0.867 0.740
Si 0.345 0.367 0.240
Si 0.655 0.760 0.367
La 0.859 0.421 0.203
La 0.641 0.079 0.297
La 0.359 0.703 0.079
La 0.141 0.797 0.421
La 0.359 0.297 0.921
La 0.141 0.203 0.579
La 0.641 0.921 0.703
La 0.859 0.579 0.797
Pm 0.500 0.500 0.500
Pm 0.000 0.000 0.000

Record 11
Here is an optimized crystal structure of Ac12Co5Te3 from Alexandria via LeMat-Bulk. Energies are from PBE.

Calculated values
ΔE_f (raw) ... -245 meV per atom
Total moment ... 0.0 Bohr magnetons per cell
SG ... No. 230
Electronic total energy ... -4.958 eV/atom

Lattice parameters (Å, degrees): 15.622 15.622 15.622 109.47 109.47 109.47
Positions (direct):
Te 0.375 0.625 0.250
Te 0.250 0.625 0.875
Te 0.875 0.750 0.125
Te 0.750 0.875 0.625
Te 0.125 0.875 0.750
Te 0.375 0.750 0.625
Te 0.875 0.125 0.250
Te 0.250 0.125 0.375
Te 0.125 0.250 0.875
Te 0.625 0.375 0.750
Te 0.625 0.250 0.375
Te 0.750 0.375 0.125
Co 0.500 0.000 0.000
Co 0.625 0.875 0.250
Co 0.000 0.500 0.500
Co 0.250 0.875 0.125
Co 0.500 0.500 0.000
Co 0.750 0.125 0.875
Co 0.000 0.000 0.000
Co 0.875 0.625 0.750
Co 0.000 0.500 0.000
Co 0.000 0.000 0.500
Co 0.875 0.250 0.625
Co 0.375 0.250 0.125
Co 0.125 0.750 0.375
Co 0.250 0.375 0.625
Co 0.500 0.500 0.500
Co 0.125 0.375 0.250
Co 0.750 0.625 0.375
Co 0.625 0.750 0.875
Co 0.500 0.000 0.500
Co 0.375 0.125 0.750
Ac 0.405 0.384 0.584
Ac 0.116 0.700 0.521
Ac 0.584 0.884 0.405
Ac 0.321 0.521 0.405
Ac 0.595 0.979 0.679
Ac 0.800 0.321 0.916
Ac 0.916 0.095 0.616
Ac 0.800 0.479 0.384
Ac 0.021 0.616 0.700
Ac 0.095 0.916 0.116
Ac 0.821 0.905 0.021
Ac 0.021 0.405 0.821
Ac 0.521 0.321 0.905
Ac 0.479 0.800 0.884
Ac 0.084 0.905 0.384
Ac 0.679 0.200 0.584
Ac 0.700 0.584 0.179
Ac 0.979 0.595 0.179
Ac 0.905 0.821 0.521
Ac 0.416 0.300 0.321
Ac 0.416 0.116 0.595
Ac 0.916 0.821 0.800
Ac 0.179 0.084 0.700
Ac 0.521 0.200 0.116
Ac 0.200 0.679 0.084
Ac 0.479 0.679 0.095
Ac 0.300 0.416 0.821
Ac 0.821 0.916 0.300
Ac 0.584 0.700 0.679
Ac 0.116 0.416 0.095
Ac 0.321 0.800 0.416
Ac 0.095 0.179 0.479
Ac 0.679 0.479 0.595
Ac 0.384 0.405 0.084
Ac 0.884 0.584 0.905
Ac 0.384 0.979 0.800
Ac 0.595 0.616 0.416
Ac 0.616 0.595 0.916
Ac 0.700 0.116 0.021
Ac 0.884 0.300 0.479
Ac 0.616 0.021 0.200
Ac 0.300 0.884 0.979
Ac 0.200 0.521 0.616
Ac 0.179 0.095 0.979
Ac 0.405 0.021 0.321
Ac 0.979 0.384 0.300
Ac 0.084 0.179 0.200
Ac 0.905 0.084 0.884

Record 12
Here is an optimized crystal structure of TbGdNi from Alexandria via LeMat-Bulk. Energies are from PBE.

Calculated values
Total moment ... 7.3 Bohr magnetons per cell
SG ... No. 156
Electronic total energy ... -8.315 eV/atom

Lattice parameters (Å, degrees): 3.924 3.924 6.224 90.00 90.00 120.00
Positions (direct):
Ni 0.667 0.333 0.331
Gd 0.333 0.667 0.577
Tb 0.000 0.000 0.092

Record 13
Here is an optimized crystal structure of Cs3Tl2Cd2Au4 from Alexandria via LeMat-Bulk. Energies are from PBE.

Calculated values
Total moment ... 0.0 Bohr magnetons per cell
SG ... No. 164
Electronic total energy ... -2.206 eV/atom

Lattice parameters (Å, degrees): 5.024 5.024 18.585 90.00 90.00 120.00
Positions (direct):
Cs 0.000 0.000 0.280
Cs 0.000 0.000 0.000
Cs 0.000 0.000 0.720
Au 0.667 0.333 0.138
Au 0.667 0.333 0.592
Au 0.333 0.667 0.408
Au 0.333 0.667 0.862
Cd 0.333 0.667 0.139
Cd 0.667 0.333 0.861
Tl 0.667 0.333 0.435
Tl 0.333 0.667 0.565

Record 14
Here is an optimized crystal structure of MgAg5Sn from Alexandria via LeMat-Bulk. Energies are from PBE.

Calculated values
Total moment ... 0.0 Bohr magnetons per cell
SG ... No. 123
Electronic total energy ... -2.785 eV/atom

Lattice parameters (Å, degrees): 4.685 4.685 6.473 90.00 90.00 90.00
Positions (direct):
Ag 0.000 0.500 0.229
Ag 0.500 0.000 0.229
Ag 0.500 0.000 0.771
Ag 0.000 0.500 0.771
Ag 0.500 0.500 0.500
Mg 0.500 0.500 0.000
Sn 0.000 0.000 0.500

Record 15
Here is an optimized crystal structure of LaPuRh2 from Alexandria via LeMat-Bulk. Energies are from PBE.

Calculated values
Total moment ... 4.7 Bohr magnetons per cell
SG ... No. 123
Electronic total energy ... -8.999 eV/atom

Lattice parameters (Å, degrees): 3.471 3.471 7.170 90.00 90.00 90.00
Positions (direct):
Pu 0.500 0.500 0.500
La 0.500 0.500 0.000
Rh 0.000 0.000 0.724
Rh 0.000 0.000 0.276

Record 16
Here is an optimized crystal structure of TbTm2Pt from Alexandria via LeMat-Bulk. Energies are from PBE.

Calculated values
Total moment ... 0.0 Bohr magnetons per cell
SG ... No. 123
Electronic total energy ... -5.530 eV/atom

Lattice parameters (Å, degrees): 3.525 3.525 8.368 90.00 90.00 90.00
Positions (direct):
Tm 0.000 0.000 0.194
Tm 0.000 0.000 0.806
Pt 0.500 0.500 0.000
Tb 0.500 0.500 0.500

Record 17
Here is an optimized crystal structure of Hg2TePb from Alexandria via LeMat-Bulk. Energies are from PBE.

Calculated values
ΔE_f (raw) ... -15 meV per atom
Total moment ... 0.0 Bohr magnetons per cell
SG ... No. 12
Electronic total energy ... -1.879 eV/atom

Lattice parameters (Å, degrees): 6.561 6.561 5.796 64.27 64.27 31.86
Positions (direct):
Te 0.250 0.250 0.250
Hg 0.499 0.499 0.502
Hg 0.001 0.001 0.998
Pb 0.750 0.750 0.750

Record 18
Here is an optimized crystal structure of Sm2Ga12Pt7 from Alexandria via LeMat-Bulk. Energies are from PBE.

Calculated values
Total moment ... 0.0 Bohr magnetons per cell
SG ... No. 174
Electronic total energy ... -4.927 eV/atom

Lattice parameters (Å, degrees): 4.197 10.065 10.065 120.00 90.00 90.00
Positions (direct):
Ga 0.500 0.927 0.614
Ga 0.000 0.473 0.963
Ga 0.000 0.917 0.190
Ga 0.500 0.386 0.313
Ga 0.000 0.037 0.510
Ga 0.500 0.546 0.748
Ga 0.000 0.273 0.083
Ga 0.000 0.810 0.727
Ga 0.500 0.252 0.798
Ga 0.500 0.687 0.073
Ga 0.000 0.490 0.527
Ga 0.500 0.202 0.454
Pt 0.000 0.700 0.911
Pt 0.500 0.657 0.567
Pt 0.000 0.089 0.789
Pt 0.500 0.433 0.091
Pt 0.000 0.333 0.667
Pt 0.000 0.211 0.300
Pt 0.500 0.909 0.343
Sm 0.500 0.000 0.000
Sm 0.000 0.667 0.333

Record 19
Here is an optimized crystal structure of As2AuO6 from Alexandria via LeMat-Bulk. Energies are from PBE.

Calculated values
ΔE_f (raw) ... -725 meV per atom
Total moment ... 0.0 Bohr magnetons per cell
SG ... No. 15
Electronic total energy ... -5.428 eV/atom

Lattice parameters (Å, degrees): 5.417 7.503 7.503 77.10 73.60 73.60
Positions (direct):
O 0.805 0.934 0.408
O 0.354 0.027 0.197
O 0.146 0.803 0.973
O 0.447 0.334 0.336
O 0.053 0.664 0.666
O 0.947 0.336 0.334
O 0.305 0.408 0.934
O 0.854 0.197 0.027
O 0.695 0.592 0.066
O 0.553 0.666 0.664
O 0.195 0.066 0.592
O 0.646 0.973 0.803
Au 0.750 0.870 0.130
Au 0.250 0.130 0.870
As 0.253 0.633 0.830
As 0.753 0.830 0.633
As 0.747 0.367 0.170
As 0.247 0.170 0.367

Record 20
Here is an optimized crystal structure of NiBr2N from Alexandria via LeMat-Bulk. Energies are from PBE.

Calculated values
ΔE_f (raw) ... 1239 meV per atom
Total moment ... 1.9 Bohr magnetons per cell
SG ... No. 122
Electronic total energy ... -3.124 eV/atom

Lattice parameters (Å, degrees): 5.068 5.068 7.083 69.04 69.04 90.00
Positions (direct):
Ni 0.000 0.000 0.000
Ni 0.750 0.250 0.500
Br 0.612 0.125 0.250
Br 0.875 0.862 0.750
Br 0.138 0.625 0.250
Br 0.375 0.388 0.750
N 0.500 0.500 0.000
N 0.250 0.750 0.500